Entry from Alexandria: a relaxed structure of AcPrTe2S (PBE-GGA).

Values from the calculation:
E = -54.72 eV for the cell shown
formation energy without anion corrections = -1612 meV per atom

Unit cell a=4.6517 b=4.6517 c=16.2373 alpha=90.00 beta=90.00 gamma=90.00
Positions (direct):
Ac 0.2500 0.2500 0.1065
Ac 0.7500 0.7500 0.8935
Pr 0.2500 0.2500 0.6117
Pr 0.7500 0.7500 0.3883
Te 0.2500 0.2500 0.4049
Te 0.2500 0.2500 0.7966
Te 0.7500 0.7500 0.2034
Te 0.7500 0.7500 0.5951
S 0.2500 0.7500 0.0000
S 0.7500 0.2500 0.0000